# TaVAu2Br PBE optimized geometry
# DFT total energy	-4.607	eV/atom
# total moment	0.38	μB per formula unit
# E_form (uncorrected)	1.23	eV/atom
# crystal system	tetragonal
data_TaVAu2Br
_cell_length_a 5.186
_cell_length_b 5.186
_cell_length_c 4.861
_cell_angle_alpha 90.00
_cell_angle_beta 90.00
_cell_angle_gamma 90.00
_space_group_name_H-M_alt 'P 4/m m m'
_space_group_IT_number 123
_space_group_name_Hall '-P 4 2'
loop_
_atom_site_label
_atom_site_type_symbol
_atom_site_fract_x
_atom_site_fract_y
_atom_site_fract_z
Ta1 Ta 0.000 0.000 0.000
V1 V 0.500 0.500 0.500
Au1 Au 0.000 0.500 0.000
Br1 Br 0.000 0.000 0.500